A plane-wave DFT calculation with GGA+U was carried out for Na2Li3WO6 after structural relaxation.

Summary:
symmetry	C2/m (12)
DFT total energy	-67.35	eV per formula unit

a = 5.6846 Å, b = 5.6846 Å, c = 5.1934 Å
α = 99.65°, β = 99.65°, γ = 121.59°
Element x y z (fractional)
Na: 0.1700 0.8300 0.0000
Na: 0.8300 0.1700 0.0000
Li: 0.0000 0.0000 0.5000
Li: 0.3563 0.6437 0.5000
Li: 0.6437 0.3563 0.5000
W: 0.5000 0.5000 0.0000
O: 0.1472 0.4233 0.7579
O: 0.2847 0.2847 0.2301
O: 0.4233 0.1472 0.7579
O: 0.5767 0.8528 0.2421
O: 0.7153 0.7153 0.7699
O: 0.8528 0.5767 0.2421